DFT (GGA+U) results for crystalline Na2NpNiF8 at its relaxed geometry.

Structure (POSCAR):
```
Na2NpNiF8
1.0
3.802 -0.085 0.010
-0.038 5.420 -0.190
0.015 -0.210 8.002
F Np Na Ni
8 1 2 1
direct
0.500 0.220 0.451
0.500 0.780 0.549
0.013 0.846 0.768
0.577 0.776 0.034
0.986 0.318 0.677
0.987 0.154 0.232
0.014 0.682 0.323
0.423 0.224 0.966
0.000 0.000 0.500
0.495 0.537 0.786
0.505 0.463 0.214
0.000 0.000 0.000
```

Space group ... P-1
DFT total energy ... -5.64 eV/atom